one) First-principles (PBE) data for an optimized crystal structure of Tb7HoTm3, as listed in Alexandria via LeMat-Bulk.

The calculation puts the density of states at the Fermi level at 16.62 states/eV per cell.

It has space group P2/m (No. 10), with a = 6.9447 Å, b = 5.4987 Å, c = 9.8214 Å, α = 90.00°, β = 110.44° and γ = 90.00°. The inequivalent atoms are Tb at (0.0000, 0.0000, 0.0000), Tb at (0.1465, 0.5000, 0.2915), Tb at (0.3218, 0.5000, 0.6415), Tb at (0.4177, 0.0000, 0.8306), Ho at (0.0000, 0.0000, 0.5000), Tm at (0.2789, 0.5000, 0.9991) and Tm at (0.5000, 0.0000, 0.5000).

---

two) First-principles (PBE) data for an optimized crystal structure of Tb7HoTm3, as listed in Alexandria via LeMat-Bulk.

The calculation puts the density of states at the Fermi level at 31.15 states/eV per cell.

It has space group C2/m (No. 12), with a = 12.5057 Å, b = 11.0957 Å, c = 5.7569 Å, α = 90.00°, β = 117.32° and γ = 90.00°. The inequivalent atoms are Tb at (0.0000, 0.0000, 0.0000), Tb at (0.1949, 0.2931, 0.6946), Tb at (0.2082, 0.5000, 0.2065), Ho at (0.0000, 0.0000, 0.5000), Tm at (0.0000, 0.2949, 0.0000) and Tm at (0.0000, 0.5000, 0.5000).

---

Most stable structure - one); separation to the second - 126 meV per atom.

---

one) First-principles (PBE) data for an optimized crystal structure of Tb2Ho2Tm5, as listed in Alexandria via LeMat-Bulk.

The calculation puts the density of states at the Fermi level at 62.45 states/eV per cell.

It has space group Ima2 (No. 46), with a = 14.7451 Å, b = 11.5473 Å, c = 6.6508 Å, α = 90.00°, β = 90.00° and γ = 90.00°. The inequivalent atoms are Tb at (0.1277, 0.0081, 0.0000), Ho at (0.0000, 0.0000, 0.4443), Ho at (0.2500, 0.5153, 0.0538), Tm at (0.0534, 0.2408, 0.6521), Tm at (0.1424, 0.7392, 0.8320) and Tm at (0.2500, 0.2427, 0.3462).

---

two) First-principles (PBE) data for an optimized crystal structure of Tb2Ho2Tm5, as listed in Alexandria via LeMat-Bulk.

The calculation puts the density of states at the Fermi level at 11.66 states/eV per cell.

It has space group P-1 (No. 2), with a = 3.4980 Å, b = 7.8509 Å, c = 10.5041 Å, α = 77.15°, β = 90.00° and γ = 77.19°. The inequivalent atoms are Tb at (0.1659, 0.1672, 0.3885), Ho at (0.4989, 0.5011, 0.1662), Tm at (0.1665, 0.1662, 0.0550), Tm at (0.1678, 0.1665, 0.7232) and Tm at (0.5000, 0.5000, 0.5000).

---

Most stable structure - two); separation to the second - 204 meV per atom.

---

one) First-principles (PBE) data for an optimized crystal structure of Tb4HoTm6, as listed in Alexandria via LeMat-Bulk.

The calculation puts the density of states at the Fermi level at 28.85 states/eV per cell.

It has space group I-42m (No. 121), with a = 7.5640 Å, b = 7.5640 Å, c = 12.9062 Å, α = 90.00°, β = 90.00° and γ = 90.00°. The inequivalent atoms are Tb at (0.1707, 0.1707, 0.4239), Ho at (0.0000, 0.0000, 0.0000), Tm at (0.0000, 0.5000, 0.0000) and Tm at (0.2441, 0.2441, 0.1830).

---

two) First-principles (PBE) data for an optimized crystal structure of Tb4HoTm6, as listed in Alexandria via LeMat-Bulk.

The calculation puts the density of states at the Fermi level at 26.78 states/eV per cell.

It has space group I-42m (No. 121), with a = 6.5025 Å, b = 6.5025 Å, c = 16.8212 Å, α = 90.00°, β = 90.00° and γ = 90.00°. The inequivalent atoms are Tb at (0.1873, 0.1873, 0.3262), Ho at (0.0000, 0.0000, 0.5000), Tm at (0.0000, 0.5000, 0.0000) and Tm at (0.1790, 0.1790, 0.1293).

---

Most stable structure - two); separation to the second - 164 meV per atom.

---

one) First-principles (PBE) data for an optimized crystal structure of TbHo4Tm3, as listed in Alexandria via LeMat-Bulk.

The calculation puts the density of states at the Fermi level at 23.59 states/eV per cell.

It has space group Cmmm (No. 65), with a = 5.5510 Å, b = 25.7944 Å, c = 3.5240 Å, α = 90.00°, β = 90.00° and γ = 90.00°. The inequivalent atoms are Tb at (0.0000, 0.0000, 0.0000), Ho at (0.0000, 0.1038, 0.5000), Ho at (0.0000, 0.2233, 0.5000), Tm at (0.0000, 0.3444, 0.0000) and Tm at (0.0000, 0.5000, 0.5000).

---

two) First-principles (PBE) data for an optimized crystal structure of TbHo4Tm3, as listed in Alexandria via LeMat-Bulk.

The calculation puts the density of states at the Fermi level at 25.50 states/eV per cell.

It has space group Pmn2_1 (No. 31), with a = 11.1011 Å, b = 7.1842 Å, c = 6.2095 Å, α = 90.00°, β = 90.00° and γ = 90.00°. The inequivalent atoms are Tb at (0.0000, 0.1246, 0.0000), Ho at (0.0000, 0.3744, 0.5004), Ho at (0.0000, 0.6255, 0.9987), Ho at (0.2490, 0.6255, 0.3332), Tm at (0.0000, 0.8757, 0.4998) and Tm at (0.2500, 0.1246, 0.3330).

---

Most stable structure - two); separation to the second - 219 meV per atom.

---

one) First-principles (PBE) data for an optimized crystal structure of Tb2HoTm8, as listed in Alexandria via LeMat-Bulk.

The calculation puts the density of states at the Fermi level at 28.34 states/eV per cell.

It has space group C2/m (No. 12), with a = 17.8489 Å, b = 4.9389 Å, c = 7.8254 Å, α = 90.00°, β = 105.26° and γ = 90.00°. The inequivalent atoms are Tb at (0.2273, 0.0000, 0.1368), Ho at (0.0000, 0.5000, 0.5000), Tm at (0.0451, 0.0000, 0.2274), Tm at (0.0904, 0.5000, 0.9546), Tm at (0.1360, 0.0000, 0.6808) and Tm at (0.1816, 0.5000, 0.4086).

---

two) First-principles (PBE) data for an optimized crystal structure of Tb2HoTm8, as listed in Alexandria via LeMat-Bulk.

The calculation puts the density of states at the Fermi level at 31.78 states/eV per cell.

It has space group Immm (No. 71), with a = 5.4142 Å, b = 7.9653 Å, c = 15.7485 Å, α = 90.00°, β = 90.00° and γ = 90.00°. The inequivalent atoms are Tb at (0.0000, 0.0000, 0.2009), Ho at (0.0000, 0.0000, 0.5000), Tm at (0.0000, 0.2077, 0.0000), Tm at (0.0000, 0.2914, 0.3614) and Tm at (0.0000, 0.5000, 0.1609).

---

Most stable structure - one); separation to the second - 95 meV per atom.

---

one) First-principles (PBE) data for an optimized crystal structure of Tb5HoTm6, as listed in Alexandria via LeMat-Bulk.

The calculation puts the density of states at the Fermi level at 40.35 states/eV per cell.

It has space group Immm (No. 71), with a = 5.7021 Å, b = 7.4031 Å, c = 17.6476 Å, α = 90.00°, β = 90.00° and γ = 90.00°. The inequivalent atoms are Tb at (0.0000, 0.0000, 0.0000), Tb at (0.0000, 0.0000, 0.3479), Tb at (0.0000, 0.5000, 0.3471), Ho at (0.0000, 0.5000, 0.0000), Tm at (0.0000, 0.2499, 0.1800) and Tm at (0.0000, 0.2506, 0.5000).

---

two) First-principles (PBE) data for an optimized crystal structure of Tb5HoTm6, as listed in Alexandria via LeMat-Bulk.

The calculation puts the density of states at the Fermi level at 32.04 states/eV per cell.

It has space group C2/m (No. 12), with a = 6.0933 Å, b = 10.5417 Å, c = 11.6141 Å, α = 90.00°, β = 100.02° and γ = 90.00°. The inequivalent atoms are Tb at (0.0000, 0.0000, 0.0000), Tb at (0.0000, 0.1667, 0.5000), Tb at (0.0000, 0.3335, 0.0000), Ho at (0.0000, 0.5000, 0.5000), Tm at (0.2499, 0.0000, 0.7497) and Tm at (0.2504, 0.1666, 0.2502).

---

Most stable structure - two); separation to the second - 94 meV per atom.

---

one) First-principles (PBE) data for an optimized crystal structure of Tb5Ho2Tm, as listed in Alexandria via LeMat-Bulk.

The calculation puts the density of states at the Fermi level at 23.79 states/eV per cell.

It has space group P2_1/m (No. 11), with a = 5.7103 Å, b = 11.1686 Å, c = 8.4266 Å, α = 90.00°, β = 106.50° and γ = 90.00°. The inequivalent atoms are Tb at (0.1662, 0.0764, 0.2087), Tb at (0.2643, 0.7500, 0.5781), Tb at (0.2994, 0.0787, 0.6210), Ho at (0.3871, 0.6174, 0.9647) and Tm at (0.0033, 0.2500, 0.8495).

---

two) First-principles (PBE) data for an optimized crystal structure of Tb5Ho2Tm, as listed in Alexandria via LeMat-Bulk.

The calculation puts the density of states at the Fermi level at 18.53 states/eV per cell.

It has space group Pbam (No. 55), with a = 7.0739 Å, b = 14.1502 Å, c = 4.9920 Å, α = 90.00°, β = 90.00° and γ = 90.00°. The inequivalent atoms are Tb at (0.0000, 0.0000, 0.0000), Tb at (0.0002, 0.2504, 0.0000), Tb at (0.2504, 0.1247, 0.5000), Ho at (0.2501, 0.3755, 0.5000) and Tm at (0.0000, 0.5000, 0.0000).

---

Most stable structure - two); separation to the second - 163 meV per atom.

---

one) First-principles (PBE) data for an optimized crystal structure of Tb8HoTm6, as listed in Alexandria via LeMat-Bulk.

The calculation puts the density of states at the Fermi level at 71.44 states/eV per cell.

It has space group R-3 (No. 148, hexagonal axes), with a = 8.9388 Å, b = 8.9388 Å, c = 20.4602 Å, α = 90.00°, β = 90.00° and γ = 120.00°. The inequivalent atoms are Tb at (0.0000, 0.0000, 0.0769), Tb at (0.0816, 0.5273, 0.3079), Ho at (0.0000, 0.0000, 0.5000) and Tm at (0.0562, 0.8101, 0.2062).

---

two) First-principles (PBE) data for an optimized crystal structure of Tb8HoTm6, as listed in Alexandria via LeMat-Bulk.

The calculation puts the density of states at the Fermi level at 22.62 states/eV per cell.

It has space group P-3 (No. 147), with a = 9.7346 Å, b = 9.7346 Å, c = 5.7665 Å, α = 90.00°, β = 90.00° and γ = 120.00°. The inequivalent atoms are Tb at (0.0908, 0.6256, 0.2680), Tb at (0.3333, 0.6667, 0.7781), Ho at (0.0000, 0.0000, 0.5000) and Tm at (0.0493, 0.7760, 0.7810).

---

Most stable structure - one); separation to the second - 39 meV per atom.

---

one) First-principles (PBE) data for an optimized crystal structure of Tb5HoTm2, as listed in Alexandria via LeMat-Bulk.

The calculation puts the density of states at the Fermi level at 22.82 states/eV per cell.

It has space group P-1 (No. 2), with a = 6.5797 Å, b = 8.8480 Å, c = 9.3666 Å, α = 87.78°, β = 83.70° and γ = 68.34°. The inequivalent atoms are Tb at (0.0477, 0.2370, 0.1095), Tb at (0.2162, 0.4984, 0.4150), Tb at (0.2831, 0.7628, 0.6084), Tb at (0.2836, 0.5008, 0.0835), Tb at (0.3484, 0.3068, 0.7498), Ho at (0.0632, 0.8714, 0.2498), Tm at (0.2787, 0.1047, 0.4190) and Tm at (0.3838, 0.8935, 0.9190).

---

two) First-principles (PBE) data for an optimized crystal structure of Tb5HoTm2, as listed in Alexandria via LeMat-Bulk.

The calculation puts the density of states at the Fermi level at 19.26 states/eV per cell.

It has space group Pbam (No. 55), with a = 7.0640 Å, b = 14.1285 Å, c = 4.9872 Å, α = 90.00°, β = 90.00° and γ = 90.00°. The inequivalent atoms are Tb at (0.0000, 0.0000, 0.0000), Tb at (0.0000, 0.2503, 0.0000), Tb at (0.2501, 0.1247, 0.5000), Ho at (0.0000, 0.5000, 0.0000) and Tm at (0.2498, 0.3751, 0.5000).

---

Most stable structure - two); separation to the second - 136 meV per atom.